Record 1
{"formula": "LiPa2Re", "functional": "PBE", "state": "optimized geometry", "formation_enthalpy_0k_ev_per_fu": 0.78, "lattice": [[4.8915, 0.0000, 0.0000], [0.0000, 4.8915, 0.0000], [0.0000, 0.0000, 3.4325]], "species": ["Li", "Pa", "Pa", "Re"], "fractional_positions": [[0.0000, 0.0000, 0.0000], [0.0000, 0.5000, 0.5000], [0.5000, 0.0000, 0.5000], [0.5000, 0.5000, 0.0000]]}

=====

Record 2
{"formula": "LiScPaRe", "functional": "PBE", "state": "optimized geometry", "formation_enthalpy_0k_ev_per_fu": 0.03, "lattice": [[6.7555, 0.0000, 0.0000], [0.0000, 6.7555, 0.0000], [0.0000, 0.0000, 6.7555]], "species": ["Li", "Li", "Li", "Li", "Sc", "Sc", "Sc", "Sc", "Pa", "Pa", "Pa", "Pa", "Re", "Re", "Re", "Re"], "fractional_positions": [[0.0000, 0.0000, 0.0000], [0.0000, 0.5000, 0.5000], [0.5000, 0.0000, 0.5000], [0.5000, 0.5000, 0.0000], [0.2500, 0.2500, 0.2500], [0.2500, 0.7500, 0.7500], [0.7500, 0.2500, 0.7500], [0.7500, 0.7500, 0.2500], [0.2500, 0.2500, 0.7500], [0.2500, 0.7500, 0.2500], [0.7500, 0.2500, 0.2500], [0.7500, 0.7500, 0.7500], [0.0000, 0.0000, 0.5000], [0.0000, 0.5000, 0.0000], [0.5000, 0.0000, 0.0000], [0.5000, 0.5000, 0.5000]]}

=====

Record 3
{"formula": "LiPaReSn", "functional": "PBE", "state": "optimized geometry", "formation_enthalpy_0k_ev_per_fu": -0.13, "lattice": [[6.7441, 0.0000, 0.0000], [0.0000, 6.7441, 0.0000], [0.0000, 0.0000, 6.7441]], "species": ["Li", "Li", "Li", "Li", "Pa", "Pa", "Pa", "Pa", "Re", "Re", "Re", "Re", "Sn", "Sn", "Sn", "Sn"], "fractional_positions": [[0.0000, 0.0000, 0.0000], [0.0000, 0.5000, 0.5000], [0.5000, 0.0000, 0.5000], [0.5000, 0.5000, 0.0000], [0.2500, 0.2500, 0.2500], [0.2500, 0.7500, 0.7500], [0.7500, 0.2500, 0.7500], [0.7500, 0.7500, 0.2500], [0.0000, 0.0000, 0.5000], [0.0000, 0.5000, 0.0000], [0.5000, 0.0000, 0.0000], [0.5000, 0.5000, 0.5000], [0.2500, 0.2500, 0.7500], [0.2500, 0.7500, 0.2500], [0.7500, 0.2500, 0.2500], [0.7500, 0.7500, 0.7500]]}

=====

no.,uncorrected energy (eV for the cell shown),M_tot (μB per atom),DOS(E_F) (states/eV/f.u.)
1,-32.570,0.00,5.29
2,-120.641,0.00,5.77
3,-111.966,0.00,4.59